Arrangement a

# HfMgAlFe

An optimized crystal structure of HfMgAlFe (GGA-PBE, OQMD via LeMat-Bulk).

a = 4.481 Å, b = 4.481 Å, c = 4.481 Å
α = 60.00°, β = 60.00°, γ = 60.00°
Fractional coordinates of all 4 atoms:
Al  0.000  0.000  0.000
Fe  0.750  0.750  0.750
Hf  0.500  0.500  0.500
Mg  0.250  0.250  0.250

Theoretical density, g/cm3: 7.45
Space group: F-43m
Crystal system: cubic

---

Arrangement b

# HfMgAlFe

An optimized crystal structure of HfMgAlFe (GGA-PBE, OQMD via LeMat-Bulk).

a = 4.546 Å, b = 4.546 Å, c = 4.546 Å
α = 60.00°, β = 60.00°, γ = 60.00°
Fractional coordinates of all 4 atoms:
Al  0.000  0.000  0.000
Fe  0.750  0.750  0.750
Hf  0.250  0.250  0.250
Mg  0.500  0.500  0.500

Theoretical density, g/cm3: 7.14
Space group: F-43m
Crystal system: cubic

---

Referenced to the most stable arrangement, the calculated values in meV/atom are arrangement a 0; arrangement b 197.

---

Arrangement a

# Hf3Zr3Al2Fe

An optimized crystal structure of Hf3Zr3Al2Fe (GGA-PBE, OQMD via LeMat-Bulk).

a = 7.918 Å, b = 7.918 Å, c = 3.277 Å
α = 90.00°, β = 90.00°, γ = 120.00°
Last column: magnetic moment on the atom in μB.
Fractional coordinates of all 9 atoms:
Al  0.667  0.333  0.500  0.00
Al  0.333  0.667  0.500  0.00
Fe  0.000  0.000  0.000  -0.07
Hf  0.395  0.000  0.000  0.00
Hf  0.000  0.395  0.000  0.00
Hf  0.605  0.605  0.000  0.00
Zr  0.748  0.000  0.500  0.00
Zr  0.252  0.252  0.500  0.00
Zr  0.000  0.748  0.500  0.00

Theoretical density, g/cm3: 8.58
Space group: P-62m
Crystal system: hexagonal

---

Arrangement b

# Hf3Zr3Al2Fe

An optimized crystal structure of Hf3Zr3Al2Fe (GGA-PBE, OQMD via LeMat-Bulk).

a = 7.892 Å, b = 7.892 Å, c = 3.310 Å
α = 90.00°, β = 90.00°, γ = 120.00°
Fractional coordinates of all 9 atoms:
Al  0.667  0.333  0.500
Al  0.333  0.667  0.500
Fe  0.000  0.000  0.000
Hf  0.752  0.000  0.500
Hf  0.248  0.248  0.500
Hf  0.000  0.752  0.500
Zr  0.398  0.000  0.000
Zr  0.000  0.398  0.000
Zr  0.602  0.602  0.000

Theoretical density, g/cm3: 8.55
Space group: P-62m
Crystal system: hexagonal

---

Referenced to the most stable arrangement, the calculated values in meV/atom are arrangement a 36; arrangement b 0.

---

Arrangement a

# LuAlFeHg

An optimized crystal structure of LuAlFeHg (GGA-PBE, OQMD via LeMat-Bulk).

a = 4.729 Å, b = 4.729 Å, c = 4.729 Å
α = 60.00°, β = 60.00°, γ = 60.00°
Fractional coordinates of all 4 atoms:
Al  0.000  0.000  0.000
Fe  0.750  0.750  0.750
Hg  0.500  0.500  0.500
Lu  0.250  0.250  0.250

Theoretical density, g/cm3: 10.18
Space group: F-43m
Crystal system: cubic

---

Arrangement b

# LuAlFeHg

An optimized crystal structure of LuAlFeHg (GGA-PBE, OQMD via LeMat-Bulk).

a = 4.710 Å, b = 4.710 Å, c = 4.710 Å
α = 60.00°, β = 60.00°, γ = 60.00°
Fractional coordinates of all 4 atoms:
Al  0.000  0.000  0.000
Fe  0.750  0.750  0.750
Hg  0.250  0.250  0.250
Lu  0.500  0.500  0.500

Theoretical density, g/cm3: 10.30
Space group: F-43m
Crystal system: cubic

---

Referenced to the most stable arrangement, the calculated values in meV/atom are arrangement a 31; arrangement b 0.

---

Arrangement a

# NbAlFeHg

An optimized crystal structure of NbAlFeHg (GGA-PBE, OQMD via LeMat-Bulk).

a = 4.541 Å, b = 4.541 Å, c = 4.541 Å
α = 60.00°, β = 60.00°, γ = 60.00°
Fractional coordinates of all 4 atoms:
Al  0.000  0.000  0.000
Fe  0.750  0.750  0.750
Hg  0.500  0.500  0.500
Nb  0.250  0.250  0.250

Theoretical density, g/cm3: 9.44
Space group: F-43m
Crystal system: cubic

---

Arrangement b

# NbAlFeHg

An optimized crystal structure of NbAlFeHg (GGA-PBE, OQMD via LeMat-Bulk).

a = 4.530 Å, b = 4.530 Å, c = 4.530 Å
α = 60.00°, β = 60.00°, γ = 60.00°
Fractional coordinates of all 4 atoms:
Al  0.000  0.000  0.000
Fe  0.750  0.750  0.750
Hg  0.250  0.250  0.250
Nb  0.500  0.500  0.500

Theoretical density, g/cm3: 9.51
Space group: F-43m
Crystal system: cubic

---

Referenced to the most stable arrangement, the calculated values in meV/atom are arrangement a 87; arrangement b 0.

---

Arrangement a

# AlFeHgOs

An optimized crystal structure of AlFeHgOs (GGA-PBE, OQMD via LeMat-Bulk).

a = 4.436 Å, b = 4.436 Å, c = 4.436 Å
α = 60.00°, β = 60.00°, γ = 60.00°
Fractional coordinates of all 4 atoms:
Al  0.000  0.000  0.000
Fe  0.750  0.750  0.750
Hg  0.250  0.250  0.250
Os  0.500  0.500  0.500

Theoretical density, g/cm3: 12.74
Space group: F-43m
Crystal system: cubic

---

Arrangement b

# AlFeHgOs

An optimized crystal structure of AlFeHgOs (GGA-PBE, OQMD via LeMat-Bulk).

a = 4.422 Å, b = 4.422 Å, c = 4.422 Å
α = 60.00°, β = 60.00°, γ = 60.00°
Fractional coordinates of all 4 atoms:
Al  0.000  0.000  0.000
Fe  0.750  0.750  0.750
Hg  0.500  0.500  0.500
Os  0.250  0.250  0.250

Theoretical density, g/cm3: 12.86
Space group: F-43m
Crystal system: cubic

---

Referenced to the most stable arrangement, the calculated values in meV/atom are arrangement a 80; arrangement b 0.

---

Arrangement a

# AlFeHgW

An optimized crystal structure of AlFeHgW (GGA-PBE, OQMD via LeMat-Bulk).

a = 4.466 Å, b = 4.466 Å, c = 4.466 Å
α = 60.00°, β = 60.00°, γ = 60.00°
Fractional coordinates of all 4 atoms:
Al  0.000  0.000  0.000
Fe  0.750  0.750  0.750
Hg  0.250  0.250  0.250
W  0.500  0.500  0.500

Theoretical density, g/cm3: 12.32
Space group: F-43m
Crystal system: cubic

---

Arrangement b

# AlFeHgW

An optimized crystal structure of AlFeHgW (GGA-PBE, OQMD via LeMat-Bulk).

a = 4.484 Å, b = 4.484 Å, c = 4.484 Å
α = 60.00°, β = 60.00°, γ = 60.00°
Fractional coordinates of all 4 atoms:
Al  0.000  0.000  0.000
Fe  0.750  0.750  0.750
Hg  0.500  0.500  0.500
W  0.250  0.250  0.250

Theoretical density, g/cm3: 12.17
Space group: F-43m
Crystal system: cubic

---

Referenced to the most stable arrangement, the calculated values in meV/atom are arrangement a 0; arrangement b 58.